A plane-wave DFT calculation with PBE was carried out for an optimized crystal structure of Y3HoEr4S8.

abc: 7.7711 7.7711 19.0691
angles: 90.00 90.00 120.00
Space group R-3m (No. 166, hexagonal axes)
One atom of each set of equivalent atoms:
Y (0.0000, 0.5000, 0.0000)
Ho (0.0000, 0.0000, 0.0000)
Er (0.0000, 0.0000, 0.5000)
Er (0.0000, 0.5000, 0.5000)
S (0.0000, 0.0000, 0.2481)
S (0.0015, 0.5008, 0.7515)

Summary:
Volume   997 Å³ per cell
D(E_F)   0.576 states/eV per atom
Formation energy (no corrections)   -1968 meV per atom